! In2SbBr (GGA-PBE, optimized geometry); values from VASP
! ρ = 6.11 Mg/m³
! energy relative to the elements, uncorrected = -4.47 kcal/mol of atoms
! ΔE to the lowest computed polymorph = 75.6 meV per atom
! symmetry = C2/m (12)
! total magnetic moment = 0.0 μB per formula unit
&SYSTEM
  ibrav = 0, nat = 4, ntyp = 3
/
ATOMIC_SPECIES
In 114.82 In.upf
Sb 121.76 Sb.upf
Br 79.90 Br.upf
ATOMIC_POSITIONS crystal
In 0.500 0.000 0.500
In 0.000 0.000 0.000
Sb 0.000 0.500 0.500
Br 0.500 0.500 0.000
CELL_PARAMETERS angstrom
8.322 -0.059 -0.140
-3.737 4.494 0.026
0.848 1.321 3.126


! InSb2Br (GGA-PBE, optimized geometry); values from VASP
! ρ = 5.63 Mg/m³
! energy relative to the elements, uncorrected = -0.83 kcal/mol of atoms
! ΔE to the lowest computed polymorph = 103.7 meV per atom
! symmetry = Imm2 (44)
! total magnetic moment = 0.0 μB per formula unit
&SYSTEM
  ibrav = 0, nat = 4, ntyp = 3
/
ATOMIC_SPECIES
Sb 121.76 Sb.upf
Br 79.90 Br.upf
In 114.82 In.upf
ATOMIC_POSITIONS crystal
Sb 0.955 0.955 0.000
Sb 0.795 0.295 0.500
Br 0.540 0.540 0.000
In 0.211 0.711 0.500
CELL_PARAMETERS angstrom
-4.973 4.360 2.455
-6.077 -2.031 2.952
7.038 -0.473 0.092


! In2SbBr (GGA-PBE, optimized geometry); values from VASP
! ρ = 6.39 Mg/m³
! energy relative to the elements, uncorrected = -0.12 kcal/mol of atoms
! ΔE to the lowest computed polymorph = 264.2 meV per atom
! symmetry = F-43m (216)
! total magnetic moment = 0.0 μB per formula unit
&SYSTEM
  ibrav = 0, nat = 4, ntyp = 3
/
ATOMIC_SPECIES
In 114.82 In.upf
Sb 121.76 Sb.upf
Br 79.90 Br.upf
ATOMIC_POSITIONS crystal
In 0.250 0.250 0.250
In 0.000 0.000 0.000
Sb 0.750 0.750 0.750
Br 0.500 0.500 0.500
CELL_PARAMETERS angstrom
-2.311 -4.276 2.378
2.946 -4.404 1.101
1.216 -1.230 5.127


Number 1: D(E_F) 1.33 states/eV per cell, E -12.05 eV/cell. Number 2: D(E_F) 1.35 states/eV per cell, E -12.80 eV/cell. Number 3: D(E_F) 2.76 states/eV per cell, E -11.29 eV/cell.